Arrangement A

Tb2NiTe | PBE | relaxed

The mass density comes out at 8.35 Mg/m³. Its crystal system is orthorhombic. Its density of states at the Fermi level is 7.2 states/eV per cell. As for the space group: No. 63.

Cell lengths 4.388, 4.053, 11.458 Å; angles 100.19, 90.00, 90.00 degrees
Sites, in units of the cell vectors:
Te: 0.750 0.805 0.610
Te: 0.250 0.195 0.390
Tb: 0.250 0.343 0.685
Tb: 0.750 0.944 0.888
Tb: 0.250 0.056 0.112
Tb: 0.750 0.657 0.315
Ni: 0.250 0.468 0.937
Ni: 0.750 0.532 0.063

---

Arrangement B

Tb2NiTe | PBE | relaxed

The mass density comes out at 8.05 Mg/m³. Its crystal system is trigonal. Its density of states at the Fermi level is 2.0 states/eV per cell. As for the space group: No. 166.

Cell lengths 4.055, 4.055, 7.667 Å; angles 74.67, 74.67, 60.00 degrees
Sites, in units of the cell vectors:
Te: 0.500 0.500 0.500
Tb: 0.736 0.736 0.792
Tb: 0.264 0.264 0.208
Ni: 0.000 0.000 0.000

---

Arrangement C

Tb2NiTe | PBE | relaxed

The mass density comes out at 7.99 Mg/m³. Its crystal system is trigonal. Its density of states at the Fermi level is 1.1 states/eV per cell. As for the space group: No. 160.

Cell lengths 4.105, 4.105, 7.563 Å; angles 74.25, 74.25, 60.00 degrees
Sites, in units of the cell vectors:
Ni: 0.665 0.665 0.004
Tb: 0.068 0.068 0.796
Tb: 0.266 0.266 0.202
Te: 0.500 0.500 0.499

---

How far above the most stable structure does each one sit? In meV/atom: arrangement A 0; arrangement B 33; arrangement C 19.

---

Arrangement A

Tb5NiTe2 | PBE | relaxed

The mass density comes out at 8.53 Mg/m³. Its crystal system is orthorhombic. Its density of states at the Fermi level is 17.5 states/eV per cell. As for the space group: No. 55.

Cell lengths 4.356, 8.018, 12.352 Å; angles 90.00, 90.00, 90.00 degrees
Sites, in units of the cell vectors:
Tb: 0.000 0.000 0.500
Tb: 0.500 0.682 0.435
Tb: 0.500 0.818 0.935
Tb: 0.000 0.861 0.195
Tb: 0.500 0.182 0.065
Tb: 0.500 0.318 0.565
Tb: 0.000 0.361 0.305
Tb: 0.000 0.639 0.695
Tb: 0.000 0.139 0.805
Tb: 0.000 0.500 0.000
Te: 0.500 0.570 0.176
Te: 0.500 0.070 0.324
Te: 0.500 0.930 0.676
Te: 0.500 0.430 0.824
Ni: 0.000 0.500 0.500
Ni: 0.000 0.000 0.000

---

Arrangement B

Tb5NiTe2 | PBE | relaxed

The mass density comes out at 7.54 Mg/m³. Its crystal system is orthorhombic. Its density of states at the Fermi level is 16.6 states/eV per cell. As for the space group: No. 63.

Cell lengths 5.894, 6.597, 14.031 Å; angles 90.00, 90.00, 116.53 degrees
Sites, in units of the cell vectors:
Tb: 0.621 0.243 0.613
Tb: 0.063 0.127 0.123
Tb: 0.327 0.655 0.750
Tb: 0.063 0.127 0.377
Tb: 0.379 0.757 0.387
Tb: 0.379 0.757 0.113
Tb: 0.937 0.873 0.623
Tb: 0.621 0.243 0.887
Tb: 0.937 0.873 0.877
Tb: 0.673 0.345 0.250
Ni: 0.223 0.445 0.250
Ni: 0.777 0.555 0.750
Te: 0.807 0.613 0.435
Te: 0.193 0.387 0.935
Te: 0.193 0.387 0.565
Te: 0.807 0.613 0.065

---

How far above the most stable structure does each one sit? In meV/atom: arrangement A 0; arrangement B 220.

---

Arrangement A

TbThNi4 | PBE | relaxed

The mass density comes out at 9.70 Mg/m³. Its crystal system is orthorhombic. Its density of states at the Fermi level is 7.7 states/eV per cell. As for the space group: No. 47.

Cell lengths 3.725, 4.070, 7.068 Å; angles 90.01, 89.99, 89.99 degrees
Sites, in units of the cell vectors:
Ni: 0.499 0.997 0.834
Ni: 0.499 0.497 0.667
Ni: 0.498 0.497 0.330
Ni: 0.498 0.997 0.163
Th: 0.999 0.997 0.498
Tb: 0.999 0.497 0.998

---

Arrangement B

TbThNi4 | PBE | relaxed

The mass density comes out at 10.87 Mg/m³. Its crystal system is cubic. Its density of states at the Fermi level is 3.7 states/eV per cell. As for the space group: No. 216.

Cell lengths 5.132, 5.132, 5.132 Å; angles 60.00, 60.00, 60.00 degrees
Sites, in units of the cell vectors:
Ni: 0.625 0.625 0.625
Ni: 0.625 0.124 0.625
Ni: 0.625 0.625 0.124
Ni: 0.124 0.625 0.625
Th: 0.250 0.250 0.250
Tb: 0.000 0.000 0.000

---

How far above the most stable structure does each one sit? In meV/atom: arrangement A 0; arrangement B 18.